DFT (PBE-GGA) results for VCuIrOs2 after structural relaxation.

## Properties
SG: P4/mmm
Calculated formation energy (eV per atom): 1.69
Total magnetization (μB/f.u.): 1.0
DOS(E_F) (states/eV/f.u.): 6.40

Cell: 4.467 4.467 4.504 Å, 90.00 90.00 90.00°
Fractional positions:
V: 0.000 0.000 0.000
Cu: 0.500 0.500 0.500
Ir: 0.000 0.000 0.500
Os: 0.000 0.500 0.000
Os: 0.500 0.000 0.000

***

DFT (PBE-GGA) results for MnTcOs2 after structural relaxation.

## Properties
SG: Cmmm
Calculated formation energy (eV per atom): 0.39
Total magnetization (μB/f.u.): 2.7
DOS(E_F) (states/eV/f.u.): 5.26

Cell: 2.676 2.676 8.866 Å, 90.00 90.00 115.56°
Fractional positions:
Mn: 0.000 0.000 0.000
Tc: 0.000 0.000 0.500
Os: 0.500 0.500 0.242
Os: 0.500 0.500 0.758

***

DFT (PBE-GGA) results for PrDy4Cu4 after structural relaxation.

## Properties
SG: P4_2/n
Calculated formation energy (eV per atom): -0.03
Total magnetization (μB/f.u.): 0.0
DOS(E_F) (states/eV/f.u.): 12.43

Cell: 9.042 9.042 5.627 Å, 90.00 90.00 90.00°
Fractional positions:
Pr: 0.250 0.250 0.250
Pr: 0.750 0.750 0.750
Dy: 0.082 0.658 0.150
Dy: 0.158 0.918 0.650
Dy: 0.342 0.582 0.650
Dy: 0.418 0.842 0.150
Dy: 0.582 0.158 0.850
Dy: 0.658 0.418 0.350
Dy: 0.842 0.082 0.350
Dy: 0.918 0.342 0.850
Cu: 0.031 0.604 0.637
Cu: 0.104 0.969 0.137
Cu: 0.396 0.531 0.137
Cu: 0.469 0.896 0.637
Cu: 0.531 0.104 0.363
Cu: 0.604 0.469 0.863
Cu: 0.896 0.031 0.863
Cu: 0.969 0.396 0.363

***

DFT (PBE-GGA) results for Hg2TeRh after structural relaxation.

## Properties
SG: P4/mmm
E_form (uncorrected) (eV per atom): 0.2105
Total magnetization (μB/f.u.): 0.0
DOS(E_F) (states/eV/f.u.): 2.87

Cell: 3.132 3.132 9.700 Å, 90.00 90.00 90.00°
Fractional positions:
Hg: 0.000 0.000 0.181
Hg: 0.000 0.000 0.819
Te: 0.500 0.500 0.500
Rh: 0.500 0.500 0.000